## NaGeSe2 (PBE)

Data for a relaxed NaGeSe2 crystal.

Calculated values
The volume comes out at 27.53 Å³/atom. As for the uncorrected formation energy: -1.2 eV/f.u. The symmetry is R-3m. The total energy is -3.53 eV/atom.

Lattice parameters (Å, degrees): 8.6774 8.6774 8.6774 25.94 25.94 25.94
Closest atoms and distances in Å follow each position.
Sites, in units of the cell vectors:
Se 0.1079 0.1079 0.1079  3 Ge 2.69, 1 Na 2.71
Se 0.8921 0.8921 0.8921  3 Ge 2.69, 1 Na 2.71
Ge 0.5000 0.5000 0.5000  6 Se 2.69
Na 0.0000 0.0000 0.0000  2 Se 2.71

---

## La6CdRh2 (PBE)

Data for a relaxed La6CdRh2 crystal.

Calculated values
The volume comes out at 29.71 Å³/atom. The symmetry is C2/m. The total energy is -5.39 eV/atom.

Lattice parameters (Å, degrees): 5.5622 6.7995 9.7868 123.88 90.00 114.14
Closest atoms and distances in Å follow each position.
Sites, in units of the cell vectors:
La 0.6341 0.2682 0.4817  1 Rh 2.72
La 0.9803 0.9606 0.8304  1 La 3.05, 1 Cd 3.39, 1 Rh 3.40
Rh 0.6918 0.3836 0.7980  4 La 2.72-2.97
La 0.0197 0.0394 0.1696  1 La 3.05, 1 Cd 3.39, 1 Rh 3.40
La 0.2966 0.5933 0.8978  3 Rh 2.89-2.97
Cd 0.0000 0.0000 0.5000  8 La 3.30-3.39, 4 Rh 3.66
La 0.3659 0.7318 0.5183  1 Rh 2.72
Rh 0.3082 0.6164 0.2020  4 La 2.72-2.97
La 0.7034 0.4067 0.1022  3 Rh 2.89-2.97

---

## KLaRu (PBE)

Data for a relaxed KLaRu crystal.

Calculated values
The volume comes out at 36.20 Å³/atom. The symmetry is P3m1. The total energy is -4.73 eV/atom.

Lattice parameters (Å, degrees): 4.3295 4.3295 6.6895 90.00 90.00 120.00
Closest atoms and distances in Å follow each position.
Sites, in units of the cell vectors:
La 0.6667 0.3333 0.4734  3 Ru 2.59
Ru 0.3333 0.6667 0.5727  3 La 2.59
K 0.0000 0.0000 0.9538  3 Ru 3.57

---

## Y3MgSc3Se8 (PBE)

Data for a relaxed Y3MgSc3Se8 crystal.

Calculated values
The volume comes out at 23.51 Å³/atom. As for the uncorrected formation energy: -25.3 eV/f.u. The symmetry is R-3m. The total energy is -6.21 eV/atom.

Lattice parameters (Å, degrees): 7.9052 7.9060 7.9561 119.80 90.00 120.00
Closest atoms and distances in Å follow each position.
Sites, in units of the cell vectors:
Y 0.5000 0.5000 0.0000  6 Se 2.86
Y 0.0000 0.0000 0.0000  6 Se 2.86
Mg 0.0000 0.0000 0.5000  6 Se 2.77
Se 0.7431 0.9899 0.7366  2 Sc 2.75, 1 Mg 2.77, 2 Y 2.86
Y 0.0000 0.5000 0.0000  6 Se 2.86
Sc 0.5000 0.0000 0.5000  6 Se 2.75
Se 0.2468 0.9899 0.7366  2 Sc 2.75, 1 Mg 2.77, 2 Y 2.86
Se 0.7533 0.5065 0.2634  2 Sc 2.75, 1 Mg 2.77, 2 Y 2.86
Se 0.7532 0.0101 0.2634  2 Sc 2.75, 1 Mg 2.77, 2 Y 2.86
Se 0.7448 0.4895 0.7343  3 Sc 2.75, 3 Y 2.86
Se 0.2467 0.4935 0.7366  2 Sc 2.75, 1 Mg 2.77, 2 Y 2.86
Se 0.2552 0.5105 0.2657  3 Sc 2.75, 3 Y 2.86
Se 0.2569 0.0101 0.2634  2 Sc 2.75, 1 Mg 2.77, 2 Y 2.86
Sc 0.5000 0.5000 0.5000  6 Se 2.75
Sc 0.0000 0.5000 0.5000  6 Se 2.75

---

## Sm3ErBi4 (PBE)

Data for a relaxed Sm3ErBi4 crystal.

Calculated values
The volume comes out at 32.90 Å³/atom. The symmetry is Cmmm. The total energy is -5.17 eV/atom.

Lattice parameters (Å, degrees): 4.5337 7.8471 7.8471 109.48 90.00 90.00
Closest atoms and distances in Å follow each position.
Sites, in units of the cell vectors:
Sm 0.5000 0.5000 0.5000  6 Bi 3.24
Bi 0.5000 0.2474 0.7526  1 Er 3.17, 5 Sm 3.20-3.24
Bi 0.0000 0.7551 0.7551  2 Er 3.17, 4 Sm 3.20-3.24
Bi 0.5000 0.7526 0.2474  1 Er 3.17, 5 Sm 3.20-3.24
Sm 0.0000 0.5000 0.0000  6 Bi 3.20
Er 0.5000 0.0000 0.0000  6 Bi 3.17
Bi 0.0000 0.2449 0.2449  2 Er 3.17, 4 Sm 3.20-3.24
Sm 0.0000 0.0000 0.5000  6 Bi 3.20

---

## EuDyZnCu (PBE)

Data for a relaxed EuDyZnCu crystal.

Calculated values
The volume comes out at 23.25 Å³/atom. The symmetry is F-43m. The total energy is -5.25 eV/atom.

Lattice parameters (Å, degrees): 5.0858 5.0858 5.0858 60.00 60.00 60.00
Closest atoms and distances in Å follow each position.
Sites, in units of the cell vectors:
Zn 0.2500 0.2500 0.2500  4 Eu 3.11, 4 Dy 3.11
Cu 0.7500 0.7500 0.7500  4 Dy 3.11, 4 Eu 3.11
Eu 0.5000 0.5000 0.5000  4 Cu 3.11, 4 Zn 3.11
Dy 0.0000 0.0000 0.0000  4 Zn 3.11, 4 Cu 3.11